Entry 1:
Computed, not measured: an optimized crystal structure of KCd2Pb at the GGA-PBE level of DFT.

* DOS(E_F): 0.142 states/eV per atom
* E_form: 0.04 eV per atom
* E above lowest polymorph: 139 meV per atom
* theoretical density: 6.436 Mg/m³
* M_tot: 0.00 μB per formula unit

abc: 7.0936 10.2485 3.3440
angles: 90.00 90.00 90.00
With the nearest neighbours (Å) after each atom.
Space group Cmmm (No. 65)
Unique sites:
K1 0.0000 0.0000 0.0000 x2  2 K 3.34, 8 Cd 3.54, 2 Pb 3.55
Cd1 0.2500 0.2500 0.5000 x4  4 Cd 3.34-3.55, 4 Pb 3.54, 4 K 3.54
Pb1 0.0000 0.5000 0.0000 x2  2 Pb 3.34, 8 Cd 3.54, 2 K 3.55


Entry 2:
Computed, not measured: an optimized crystal structure of Mg6Sc5Cd at the GGA-PBE level of DFT.

* DOS(E_F): 0.943 states/eV per atom
* E_form: -0.05 eV per atom
* theoretical density: 2.924 Mg/m³
* M_tot: 0.18 μB per formula unit

abc: 5.0132 7.2169 15.1622
angles: 90.00 90.00 90.00
With the nearest neighbours (Å) after each atom.
Space group Immm (No. 71)
Unique sites:
Mg1 0.0000 0.2416 0.0000 x4  2 Cd 3.05, 6 Sc 3.12-3.16
Mg2 0.0000 0.2583 0.3375 x8  1 Cd 3.02, 7 Sc 3.06-3.12
Sc1 0.0000 0.0000 0.1736 x4  8 Mg 3.06-3.16
Sc2 0.0000 0.0000 0.5000 x2  8 Mg 3.09-3.12
Sc3 0.0000 0.5000 0.1684 x4  8 Mg 3.10-3.16, 2 Sc 3.47
Cd1 0.0000 0.5000 0.5000 x2  8 Mg 3.02-3.05